[1]
Below is a relaxed LaYAl crystal, with properties calculated at the PBE level.

- calculated volume (Å³ per cell) = 86
- magnetic moment (μB/atom) = 0.000
- calculated total energy (eV/atom) = -5.1924
- DOS(E_F) (states/eV/cell) = 2.04

abc: 5.1620 5.1620 3.7220
angles: 90.00 90.00 120.00
Space group P3m1 (No. 156)
Asymmetric unit:
La: 0.0000 0.0000 0.0000 [1 per cell]
Y: 0.6667 0.3333 0.4276 [1 per cell]
Al: 0.3333 0.6667 0.6413 [1 per cell]

---

[2]
Below is a relaxed La3YAl8 crystal, with properties calculated at the PBE level.

- calculated volume (Å³ per cell) = 265
- magnetic moment (μB/atom) = 0.000
- calculated total energy (eV/atom) = -4.7482
- DOS(E_F) (states/eV/cell) = 7.34

abc: 5.7033 5.7033 9.3924
angles: 90.00 90.00 120.00
Space group P3m1 (No. 156)
Asymmetric unit:
La: 0.0000 0.0000 0.0000 [1 per cell]
La: 0.0000 0.0000 0.3614 [1 per cell]
La: 0.3333 0.6667 0.8646 [1 per cell]
Y: 0.3333 0.6667 0.4987 [1 per cell]
Al: 0.0094 0.5047 0.1842 [3 per cell]
Al: 0.3248 0.1624 0.6756 [3 per cell]
Al: 0.6667 0.3333 0.4315 [1 per cell]
Al: 0.6667 0.3333 0.9266 [1 per cell]

---

[3]
Below is a relaxed LaY2Al crystal, with properties calculated at the PBE level.

- calculated volume (Å³ per cell) = 116
- magnetic moment (μB/atom) = 0.000
- calculated total energy (eV/atom) = -5.5209
- DOS(E_F) (states/eV/cell) = 5.61

abc: 3.6444 4.5693 6.9564
angles: 90.00 90.00 90.00
Space group Pmm2 (No. 25)
Asymmetric unit:
La: 0.0000 0.0000 0.0000 [1 per cell]
Y: 0.0000 0.0000 0.4553 [1 per cell]
Y: 0.5000 0.5000 0.7206 [1 per cell]
Al: 0.5000 0.5000 0.2405 [1 per cell]